<A>
The following is a DFT calculation (PBE-GGA) of crystalline ZnPH6CCl3 at its relaxed geometry.

Values from the calculation:
**Size of the total moment**: 0.00 μB per cell

Lattice parameters (Å, degrees): 6.8393 8.1559 15.4465 94.93 93.53 94.80
Closest atoms and distances in Å follow each position.
Space group P1 (No. 1)
Unique sites:
Zn1 0.0000 0.0000 0.0000 [1 per cell]  4 Cl 2.23-2.45
Zn2 0.0247 0.4265 0.5937 [1 per cell]  4 Cl 2.23-2.41
Zn3 0.3933 0.4545 0.4755 [1 per cell]  4 Cl 2.24-2.42
Zn4 0.4842 0.8442 0.0657 [1 per cell]  4 Cl 2.25-2.39
P1 0.3082 0.3835 0.2281 [1 per cell]  3 H 1.40-1.41
P2 0.3774 0.8923 0.7523 [1 per cell]  3 H 1.41
P3 0.7392 0.4500 0.9354 [1 per cell]  3 H 1.40-1.42
P4 0.9283 0.9459 0.4491 [1 per cell]  3 H 1.41-1.42
H1 0.0769 0.7628 0.3503 [1 per cell]  1 C 1.10
H2 0.0914 0.3782 0.1013 [1 per cell]  1 C 1.10
H3 0.1016 0.0512 0.4690 [1 per cell]  1 P 1.41
H4 0.1832 0.5850 0.1413 [1 per cell]  1 C 1.10
H5 0.2149 0.7723 0.7444 [1 per cell]  1 P 1.41
H6 0.2212 0.2539 0.2709 [1 per cell]  1 P 1.40
H7 0.2821 0.0425 0.6335 [1 per cell]  1 C 1.10
H8 0.3375 0.0172 0.8160 [1 per cell]  1 P 1.41
H9 0.3969 0.5046 0.2929 [1 per cell]  1 P 1.41
H10 0.4227 0.8732 0.5998 [1 per cell]  1 C 1.10
H11 0.4555 0.3164 0.1803 [1 per cell]  1 P 1.40
H12 0.5452 0.0598 0.6544 [1 per cell]  1 C 1.10
H13 0.5490 0.8255 0.7833 [1 per cell]  1 P 1.41
H14 0.5887 0.5583 0.9448 [1 per cell]  1 P 1.42
H15 0.6165 0.3390 0.7927 [1 per cell]  1 C 1.10
H16 0.6898 0.3102 0.9803 [1 per cell]  1 P 1.41
H17 0.7695 0.0459 0.4475 [1 per cell]  1 P 1.41
H18 0.8134 0.7505 0.3285 [1 per cell]  1 C 1.10
H19 0.8139 0.4955 0.7898 [1 per cell]  1 C 1.10
H20 0.8662 0.2927 0.8167 [1 per cell]  1 C 1.10
H21 0.9094 0.8383 0.5158 [1 per cell]  1 P 1.42
H22 0.9171 0.5263 0.9753 [1 per cell]  1 P 1.40
H23 0.9658 0.9202 0.2951 [1 per cell]  1 C 1.10
H24 0.9930 0.4786 0.1959 [1 per cell]  1 C 1.10
C1 0.1250 0.4647 0.1600 [1 per cell]  3 H 1.10
C2 0.4102 0.9754 0.6498 [1 per cell]  3 H 1.10
C3 0.7619 0.3874 0.8226 [1 per cell]  3 H 1.10
C4 0.9475 0.8334 0.3451 [1 per cell]  3 H 1.10
Cl1 0.0417 0.4151 0.4404 [1 per cell]  2 Zn 2.37-2.42
Cl2 0.1595 0.2268 0.9542 [1 per cell]  1 Zn 2.26
Cl3 0.1939 0.9386 0.1238 [1 per cell]  2 Zn 2.37-2.39
Cl4 0.3508 0.7343 0.9342 [1 per cell]  1 Zn 2.25, 1 H 2.27
Cl5 0.3753 0.4648 0.6256 [1 per cell]  2 Zn 2.32-2.41
Cl6 0.4775 0.7003 0.4259 [1 per cell]  1 Zn 2.25, 1 H 2.49
Cl7 0.5006 0.2253 0.4111 [1 per cell]  1 Zn 2.24, 1 H 2.51
Cl8 0.6136 0.6492 0.1420 [1 per cell]  1 Zn 2.27
Cl9 0.7148 0.0744 0.0782 [1 per cell]  2 Zn 2.34-2.45, 1 H 2.56
Cl10 0.8650 0.8277 0.8881 [1 per cell]  1 Zn 2.23
Cl11 0.9072 0.6610 0.6430 [1 per cell]  1 Zn 2.23
Cl12 0.9253 0.1760 0.6322 [1 per cell]  1 Zn 2.24

<B>
The following is a DFT calculation (PBE-GGA) of crystalline ZnPH6CCl3 at its relaxed geometry.

Values from the calculation:
**Size of the total moment**: 0.00 μB per cell

Lattice parameters (Å, degrees): 3.9848 6.4127 15.1063 89.93 87.58 89.80
Closest atoms and distances in Å follow each position.
Space group P1 (No. 1)
Unique sites:
Zn1 0.0000 0.0000 0.0000 [1 per cell]  4 Cl 2.26-2.38
Zn2 0.0138 0.1422 0.5008 [1 per cell]  4 Cl 2.26-2.38
P1 0.5530 0.5697 0.8308 [1 per cell]  3 H 1.42
P2 0.5648 0.5736 0.3314 [1 per cell]  3 H 1.42
H1 0.2292 0.4026 0.7211 [1 per cell]  1 C 1.10
H2 0.2303 0.6838 0.7088 [1 per cell]  1 C 1.10
H3 0.2398 0.7409 0.2214 [1 per cell]  1 C 1.10
H4 0.2434 0.4596 0.2096 [1 per cell]  1 C 1.10
H5 0.3059 0.5857 0.9011 [1 per cell]  1 P 1.42
H6 0.3177 0.5573 0.4017 [1 per cell]  1 P 1.42
H7 0.5842 0.5333 0.6720 [1 per cell]  1 C 1.10
H8 0.5960 0.6096 0.1726 [1 per cell]  1 C 1.10
H9 0.7503 0.7526 0.8326 [1 per cell]  1 P 1.42
H10 0.7566 0.3935 0.8475 [1 per cell]  1 P 1.42
H11 0.7638 0.3905 0.3333 [1 per cell]  1 P 1.42
H12 0.7669 0.7495 0.3481 [1 per cell]  1 P 1.42
C1 0.3803 0.5449 0.7231 [1 per cell]  3 H 1.10
C2 0.3921 0.5984 0.2237 [1 per cell]  3 H 1.10
Cl1 0.0774 0.0754 0.8533 [1 per cell]  1 Zn 2.28, 2 H 2.41-2.48
Cl2 0.0909 0.0657 0.3542 [1 per cell]  1 Zn 2.28, 2 H 2.41-2.48
Cl3 0.4875 0.1315 0.0654 [1 per cell]  2 Zn 2.37-2.38
Cl4 0.5022 0.0112 0.5665 [1 per cell]  2 Zn 2.37-2.38
Cl5 0.9448 0.6516 0.0194 [1 per cell]  1 Zn 2.26, 1 H 2.28
Cl6 0.9530 0.4906 0.5195 [1 per cell]  1 Zn 2.26, 1 H 2.29

Q: Which of them is the most stable? A: <A>.

<A>
The following is a DFT calculation (PBE-GGA) of crystalline HfC3Cl at its relaxed geometry.

Values from the calculation:
**Size of the total moment**: 0.00 μB per cell

Lattice parameters (Å, degrees): 3.7861 3.7861 3.7861 90.00 90.00 90.00
Closest atoms and distances in Å follow each position.
Space group Pm-3m (No. 221)
Unique sites:
Hf1 0.0000 0.0000 0.0000 [1 per cell]  12 C 2.68
C1 0.0000 0.5000 0.5000 [3 per cell]  2 Cl 1.89
Cl1 0.5000 0.5000 0.5000 [1 per cell]  6 C 1.89

<B>
The following is a DFT calculation (PBE-GGA) of crystalline HfC3Cl at its relaxed geometry.

Values from the calculation:
**Size of the total moment**: 1.25 μB per cell

Lattice parameters (Å, degrees): 4.4392 4.4392 4.4392 90.00 90.00 90.00
Closest atoms and distances in Å follow each position.
Space group Pm-3m (No. 221)
Unique sites:
Hf1 0.0000 0.0000 0.0000 [1 per cell]  6 C 2.22
C1 0.0000 0.0000 0.5000 [3 per cell]  2 Hf 2.22
Cl1 0.5000 0.5000 0.5000 [1 per cell]  12 C 3.14

Q: Which of them is the most stable? A: <B>.

<A>
The following is a DFT calculation (PBE-GGA) of crystalline HfPCCl2 at its relaxed geometry.

Values from the calculation:
**Size of the total moment**: 0.00 μB per cell

Lattice parameters (Å, degrees): 4.2330 4.2330 4.2880 90.00 90.00 90.00
Closest atoms and distances in Å follow each position.
Space group P4/mmm (No. 123)
Unique sites:
Hf1 0.0000 0.0000 0.0000 [1 per cell]  4 P 2.99, 8 Cl 3.01
P1 0.5000 0.5000 0.0000 [1 per cell]  2 C 2.14
C1 0.5000 0.5000 0.5000 [1 per cell]  4 Cl 2.12, 2 P 2.14
Cl1 0.0000 0.5000 0.5000 [2 per cell]  2 C 2.12

<B>
The following is a DFT calculation (PBE-GGA) of crystalline HfPCCl2 at its relaxed geometry.

Values from the calculation:
**Size of the total moment**: 1.00 μB per cell

Lattice parameters (Å, degrees): 4.8850 4.8850 5.1784 90.00 90.00 90.00
Closest atoms and distances in Å follow each position.
Space group P4/mmm (No. 123)
Unique sites:
Hf1 0.0000 0.0000 0.0000 [1 per cell]  4 Cl 2.44, 2 P 2.59
P1 0.0000 0.0000 0.5000 [1 per cell]  2 Hf 2.59
C1 0.5000 0.5000 0.5000 [1 per cell]  4 P 3.45, 8 Cl 3.56
Cl1 0.0000 0.5000 0.0000 [2 per cell]  2 Hf 2.44

Q: Which of them is the most stable? A: <B>.

<A>
The following is a DFT calculation (PBE-GGA) of crystalline HfCS2Cl at its relaxed geometry.

Values from the calculation:
**Size of the total moment**: 1.17 μB per cell

Lattice parameters (Å, degrees): 4.9434 4.9434 4.9402 90.00 90.00 90.00
Closest atoms and distances in Å follow each position.
Space group P4/mmm (No. 123)
Unique sites:
Hf1 0.0000 0.0000 0.0000 [1 per cell]  2 Cl 2.47, 4 S 2.47
C1 0.5000 0.5000 0.5000 [1 per cell]  8 S 3.49, 4 Cl 3.50
S1 0.0000 0.5000 0.0000 [2 per cell]  2 Hf 2.47
Cl1 0.0000 0.0000 0.5000 [1 per cell]  2 Hf 2.47

<B>
The following is a DFT calculation (PBE-GGA) of crystalline HfCS2Cl at its relaxed geometry.

Values from the calculation:
**Size of the total moment**: 0.00 μB per cell

Lattice parameters (Å, degrees): 4.2159 4.2159 4.1124 90.00 90.00 90.00
Closest atoms and distances in Å follow each position.
Space group P4/mmm (No. 123)
Unique sites:
Hf1 0.0000 0.0000 0.0000 [1 per cell]  8 S 2.94, 4 Cl 2.98
C1 0.5000 0.5000 0.5000 [1 per cell]  2 Cl 2.06, 4 S 2.11
S1 0.0000 0.5000 0.5000 [2 per cell]  2 C 2.11
Cl1 0.5000 0.5000 0.0000 [1 per cell]  2 C 2.06

Q: Which of them is the most stable? A: <B>.

<A>
The following is a DFT calculation (PBE-GGA) of crystalline HgCCl2 at its relaxed geometry.

Values from the calculation:
**Size of the total moment**: 6.32 μB per cell

Lattice parameters (Å, degrees): 6.8182 6.8182 6.8182 90.00 90.00 90.00
Closest atoms and distances in Å follow each position.
Space group Fm-3m (No. 225)
Unique sites:
Hg1 0.0000 0.0000 0.0000 [4 per cell]  8 Cl 2.95
C1 0.0000 0.0000 0.5000 [4 per cell]  8 Cl 2.95
Cl1 0.2500 0.2500 0.2500 [8 per cell]  4 Hg 2.95, 4 C 2.95

<B>
The following is a DFT calculation (PBE-GGA) of crystalline HgCCl2 at its relaxed geometry.

Values from the calculation:
**Size of the total moment**: 0.00 μB per cell

Lattice parameters (Å, degrees): 3.3429 3.3429 30.9297 90.00 90.00 120.00
Closest atoms and distances in Å follow each position.
Space group R-3m (No. 166, hexagonal axes)
Unique sites:
Hg1 0.0000 0.0000 0.0000 [3 per cell]  6 Hg 3.34
C1 0.0000 0.0000 0.5000 [3 per cell]  6 Cl 2.33
Cl1 0.0000 0.0000 0.1243 [6 per cell]  3 C 2.33

Q: Which of them is the most stable? A: <B>.

<A>
The following is a DFT calculation (PBE-GGA) of crystalline HgCCl2 at its relaxed geometry.

Values from the calculation:
**Size of the total moment**: 0.00 μB per cell

Lattice parameters (Å, degrees): 3.2978 3.2978 29.7930 90.00 90.00 120.00
Closest atoms and distances in Å follow each position.
Space group R-3m (No. 166, hexagonal axes)
Unique sites:
Hg1 0.0000 0.0000 0.0000 [3 per cell]  6 Hg 3.30
C1 0.0000 0.0000 0.5000 [3 per cell]  2 Cl 1.60
Cl1 0.0000 0.0000 0.4464 [6 per cell]  1 C 1.60

<B>
The following is a DFT calculation (PBE-GGA) of crystalline HgCCl2 at its relaxed geometry.

Values from the calculation:
**Size of the total moment**: 0.00 μB per cell

Lattice parameters (Å, degrees): 6.5908 6.5908 9.3413 90.00 90.00 90.00
Closest atoms and distances in Å follow each position.
Space group I4_1/amd (No. 141, origin choice 2)
Unique sites:
Hg1 0.0000 0.2500 0.3750 [4 per cell]  12 Cl 3.86-3.87, 4 C 4.04, 4 Hg 4.04
C1 0.0000 0.2500 0.8750 [4 per cell]  4 Cl 2.02
Cl1 0.0000 0.0000 0.0000 [8 per cell]  2 C 2.02

Q: Which of them is the most stable? A: <B>.

<A>
The following is a DFT calculation (PBE-GGA) of crystalline Hg2CCl at its relaxed geometry.

Values from the calculation:
**Size of the total moment**: 5.09 μB per cell

Lattice parameters (Å, degrees): 6.9360 6.9360 6.9360 90.00 90.00 90.00
Closest atoms and distances in Å follow each position.
Space group Fm-3m (No. 225)
Unique sites:
Hg1 0.2500 0.2500 0.2500 [8 per cell]  4 C 3.00, 4 Cl 3.00
C1 0.0000 0.0000 0.0000 [4 per cell]  8 Hg 3.00
Cl1 0.0000 0.0000 0.5000 [4 per cell]  8 Hg 3.00

<B>
The following is a DFT calculation (PBE-GGA) of crystalline Hg2CCl at its relaxed geometry.

Values from the calculation:
**Size of the total moment**: 4.00 μB per cell

Lattice parameters (Å, degrees): 6.0055 6.0055 10.9621 90.00 90.00 90.00
Closest atoms and distances in Å follow each position.
Space group I-42d (No. 122)
Unique sites:
Hg1 0.1226 0.2500 0.1250 [8 per cell]  2 C 2.16
C1 0.0000 0.0000 0.0000 [4 per cell]  4 Hg 2.16
Cl1 0.0000 0.0000 0.5000 [4 per cell]  4 Hg 3.04

Q: Which of them is the most stable? A: <B>.

<A>
The following is a DFT calculation (PBE-GGA) of crystalline HgP2CCl at its relaxed geometry.

Values from the calculation:
**Size of the total moment**: 0.21 μB per cell

Lattice parameters (Å, degrees): 3.8752 3.8752 7.5077 90.00 90.00 90.00
Closest atoms and distances in Å follow each position.
Space group P4/mmm (No. 123)
Unique sites:
Hg1 0.0000 0.0000 0.0000 [1 per cell]  4 Cl 2.74
P1 0.0000 0.5000 0.5000 [2 per cell]  2 C 1.94
C1 0.5000 0.5000 0.5000 [1 per cell]  4 P 1.94
Cl1 0.5000 0.5000 0.0000 [1 per cell]  4 Hg 2.74

<B>
The following is a DFT calculation (PBE-GGA) of crystalline HgP2CCl at its relaxed geometry.

Values from the calculation:
**Size of the total moment**: 2.99 μB per cell

Lattice parameters (Å, degrees): 5.0443 5.0443 5.2865 90.00 90.00 90.00
Closest atoms and distances in Å follow each position.
Space group P4/mmm (No. 123)
Unique sites:
Hg1 0.0000 0.0000 0.0000 [1 per cell]  4 P 2.52, 2 Cl 2.64
P1 0.0000 0.5000 0.0000 [2 per cell]  2 Hg 2.52
C1 0.5000 0.5000 0.5000 [1 per cell]  4 Cl 3.57, 8 P 3.65
Cl1 0.0000 0.0000 0.5000 [1 per cell]  2 Hg 2.64

Q: Which of them is the most stable? A: <A>.